# Zr8MnCu2P12O48

Zr8MnCu2P12O48 after structural relaxation (PBE+U, Alexandria via LeMat-Bulk).

Cell: 9.023 9.052 15.647 Å, 90.11 106.70 119.73°
Fractional positions:
Zr1 0.131 0.090 0.180
Zr2 0.148 0.604 0.682
Zr3 0.349 0.628 0.070
Zr4 0.366 0.163 0.574
Zr5 0.634 0.837 0.426
Zr6 0.651 0.372 0.930
Zr7 0.852 0.396 0.318
Zr8 0.869 0.910 0.820
Mn1 0.500 0.000 0.000
Cu1 0.109 0.835 0.335
Cu2 0.891 0.165 0.665
P1 0.028 0.262 0.516
P2 0.051 0.776 0.017
P3 0.244 0.509 0.268
P4 0.265 0.023 0.775
P5 0.467 0.126 0.379
P6 0.473 0.643 0.878
P7 0.527 0.357 0.122
P8 0.533 0.874 0.621
P9 0.735 0.977 0.225
P10 0.756 0.491 0.732
P11 0.949 0.224 0.983
P12 0.972 0.738 0.484
O1 0.005 0.863 0.938
O2 0.009 0.642 0.560
O3 0.035 0.344 0.608
O4 0.070 0.863 0.107
O5 0.079 0.510 0.276
O6 0.102 0.416 0.000
O7 0.103 0.028 0.786
O8 0.125 0.928 0.505
O9 0.204 0.324 0.249
O10 0.213 0.279 0.533
O11 0.218 0.836 0.752
O12 0.234 0.790 0.022
O13 0.275 0.036 0.300
O14 0.291 0.600 0.187
O15 0.294 0.558 0.798
O16 0.320 0.125 0.700
O17 0.371 0.213 0.147
O18 0.389 0.726 0.652
O19 0.404 0.608 0.355
O20 0.424 0.106 0.869
O21 0.444 0.198 0.459
O22 0.451 0.727 0.958
O23 0.484 0.498 0.092
O24 0.491 0.017 0.602
O25 0.509 0.983 0.398
O26 0.516 0.502 0.908
O27 0.549 0.273 0.042
O28 0.556 0.802 0.541
O29 0.576 0.894 0.131
O30 0.596 0.392 0.645
O31 0.611 0.274 0.348
O32 0.629 0.787 0.853
O33 0.680 0.875 0.300
O34 0.706 0.442 0.202
O35 0.709 0.400 0.813
O36 0.725 0.964 0.700
O37 0.766 0.210 0.978
O38 0.782 0.164 0.248
O39 0.787 0.721 0.467
O40 0.796 0.676 0.751
O41 0.875 0.072 0.495
O42 0.897 0.972 0.214
O43 0.898 0.584 0.000
O44 0.921 0.490 0.724
O45 0.930 0.137 0.893
O46 0.965 0.656 0.392
O47 0.991 0.358 0.440
O48 0.995 0.137 0.062

Results
**Raw total energy**: -8.03 eV per atom
**Crystal system**: triclinic
**Density**: 3255 kg/m³